Entry 1:
Below is an optimized crystal structure of CdCuGe2Rh, with properties calculated at the GGA-PBE level.

It has space group P4/mmm (No. 123), with a = 4.6813 Å, b = 4.6813 Å, c = 5.2317 Å, α = 90.00°, β = 90.00° and γ = 90.00°. The distinct sites, in fractional coordinates, are Cd at (0.0000, 0.0000, 0.0000), Cu at (0.5000, 0.5000, 0.0000), Ge at (0.0000, 0.5000, 0.5000) and Rh at (0.0000, 0.0000, 0.5000).

For the formation energy from the elements, the calculation gives 0.33 eV per atom. The size of the total moment is 0.0000 μB/atom. The total energy is -19.96 eV per cell. Its energy relative to the lowest polymorph listed for this composition is 0 meV per atom.

---

Entry 2:
Below is an optimized crystal structure of CdCuGe2Rh, with properties calculated at the GGA-PBE level.

It has space group P4/mmm (No. 123), with a = 4.5223 Å, b = 4.5223 Å, c = 4.8751 Å, α = 90.00°, β = 90.00° and γ = 90.00°. The distinct sites, in fractional coordinates, are Cd at (0.0000, 0.0000, 0.0000), Cu at (0.0000, 0.0000, 0.5000), Ge at (0.0000, 0.5000, 0.5000) and Rh at (0.5000, 0.5000, 0.0000).

For the formation energy from the elements, the calculation gives 0.63 eV per atom. The size of the total moment is 0.0000 μB/atom. The total energy is -18.44 eV per cell. Its energy relative to the lowest polymorph listed for this composition is 304 meV per atom.